Record 1
Below is a relaxed structure of Sr2MnIr, with properties calculated at the PBE level.

Geometry as POSCAR:
```
Sr2MnIr
1.0
-2.945 -10.429 2.427
9.926 -1.715 4.675
2.605 -5.320 5.708
Sr Ir Mn
4 2 2
direct
0.798 0.125 0.250
0.952 0.625 0.250
0.375 0.202 0.750
0.875 0.048 0.750
0.000 0.000 0.000
0.750 0.250 0.500
0.500 0.500 0.000
0.250 0.750 0.500
```

Properties
* energy relative to the lowest polymorph listed for this composition: 217 meV per atom
* energy: -20.402 eV/f.u.

***

Record 2
Below is a relaxed structure of ErGa4, with properties calculated at the PBE level.

Geometry as POSCAR:
```
ErGa4
1.0
5.485 0.000 0.000
0.000 5.485 0.000
0.000 0.000 5.485
Ga Er
4 1
direct
0.000 0.000 0.000
0.500 0.000 0.500
0.000 0.500 0.500
0.500 0.500 0.000
0.500 0.500 0.500
```

Properties
* energy relative to the lowest polymorph listed for this composition: 1041 meV per atom
* energy: -13.444 eV/f.u.

***

Record 3
Below is a relaxed structure of KHgPt2, with properties calculated at the PBE level.

Geometry as POSCAR:
```
KHgPt2
1.0
5.397 0.001 0.000
2.057 4.990 0.000
-3.727 -2.495 3.001
Hg K Pt
1 1 2
direct
0.250 0.750 0.500
0.750 0.250 0.500
0.000 0.000 0.000
0.500 0.500 0.000
```

Properties
* energy: -12.392 eV/f.u.

***

Record 4
Below is a relaxed structure of GdDyZr, with properties calculated at the PBE level.

Geometry as POSCAR:
```
GdDyZr
1.0
-2.585 0.390 -2.170
-1.238 -3.024 0.931
-2.067 4.586 5.946
Gd Zr Dy
1 1 1
direct
0.344 0.344 0.687
0.001 0.001 0.003
0.655 0.655 0.310
```

Properties
* energy relative to the lowest polymorph listed for this composition: 0 meV per atom
* energy: -26.983 eV/f.u.

***

Record 5
Below is a relaxed structure of CaSiW, with properties calculated at the PBE level.

Geometry as POSCAR:
```
CaSiW
1.0
-3.017 -0.918 -1.160
0.820 -0.594 3.203
-2.338 5.610 1.638
Ca Si W
1 1 1
direct
0.000 0.000 0.011
0.333 0.667 0.375
0.667 0.333 0.614
```

Properties
* energy: -18.924 eV/f.u.

***

Record 6
Below is a relaxed structure of Th2Zn3Ni12Pt, with properties calculated at the PBE level.

Geometry as POSCAR:
```
Th2Zn3Ni12Pt
1.0
-2.793 4.155 -7.818
-3.954 -1.813 -8.201
-7.634 1.805 -4.964
Th Zn Ni Pt
2 3 12 1
direct
0.638 0.638 0.638
0.362 0.362 0.362
0.500 0.000 0.000
0.000 0.500 0.000
0.000 0.000 0.500
0.417 0.417 0.803
0.871 0.871 0.445
0.445 0.871 0.871
0.803 0.417 0.417
0.871 0.445 0.871
0.417 0.803 0.417
0.583 0.583 0.197
0.129 0.129 0.555
0.555 0.129 0.129
0.197 0.583 0.583
0.129 0.555 0.129
0.583 0.197 0.583
0.000 0.000 0.000
```

Properties
* energy: -93.972 eV/f.u.

***

Record 7
Below is a relaxed structure of SiH3Au, with properties calculated at the PBE level.

Geometry as POSCAR:
```
SiH3Au
1.0
-1.354 -2.570 2.162
-0.084 -2.305 -2.792
3.357 -1.094 0.802
H Si Au
3 1 1
direct
0.000 0.500 0.000
0.000 0.000 0.500
0.500 0.000 0.000
0.000 0.000 0.000
0.500 0.500 0.500
```

Properties
* energy relative to the lowest polymorph listed for this composition: 0 meV per atom
* energy: -15.406 eV/f.u.

***

Record 8
Below is a relaxed structure of Tl2InFe, with properties calculated at the PBE level.

Geometry as POSCAR:
```
Tl2InFe
1.0
-3.529 -4.376 -0.645
0.864 -3.970 3.939
-0.783 5.598 0.254
Fe In Tl
1 1 2
direct
0.750 0.250 0.500
0.250 0.750 0.500
0.000 0.000 0.000
0.500 0.500 0.000
```

Properties
* energy relative to the lowest polymorph listed for this composition: 219 meV per atom
* energy: -13.822 eV/f.u.

***

Record 9
Below is a relaxed structure of AlVAg2, with properties calculated at the PBE level.

Geometry as POSCAR:
```
AlVAg2
1.0
3.838 0.000 0.000
0.000 3.838 0.000
1.919 1.919 9.758
Al Ag V
2 4 2
direct
0.500 0.500 0.000
0.250 0.750 0.500
0.622 0.125 0.250
0.128 0.625 0.250
0.375 0.378 0.750
0.875 0.872 0.750
0.000 0.000 0.000
0.750 0.250 0.500
```

Properties
* energy: -16.797 eV/f.u.

***

Record 10
Below is a relaxed structure of Nd2EuAl, with properties calculated at the PBE level.

Geometry as POSCAR:
```
Nd2EuAl
1.0
-4.513 3.052 -0.965
-3.551 1.064 4.108
-0.377 5.115 2.075
Eu Nd Al
1 2 1
direct
0.000 0.000 0.000
0.250 0.250 0.250
0.750 0.750 0.750
0.500 0.500 0.500
```

Properties
* energy relative to the lowest polymorph listed for this composition: 70 meV per atom
* energy: -23.790 eV/f.u.

***

Record 11
Below is a relaxed structure of TbPu2UP4, with properties calculated at the PBE level.

Geometry as POSCAR:
```
TbPu2UP4
1.0
3.984 0.000 0.000
0.000 6.935 0.139
0.000 -2.404 6.437
Tb Pu U P
1 2 1 4
direct
0.000 0.000 0.000
0.500 0.000 0.500
0.000 0.500 0.500
0.500 0.500 0.000
0.500 0.256 0.251
0.500 0.744 0.749
0.000 0.255 0.752
0.000 0.745 0.248
```

Properties
* energy: -76.077 eV/f.u.

***

Record 12
Below is a relaxed structure of Bi3BrO4, with properties calculated at the PBE level.

Geometry as POSCAR:
```
Bi3BrO4
1.0
5.812 0.000 0.000
0.000 5.838 0.000
0.000 0.000 19.284
Bi Br O
12 4 16
direct
0.296 0.703 0.640
0.796 0.297 0.640
0.704 0.203 0.140
0.796 0.203 0.860
0.704 0.297 0.360
0.204 0.703 0.360
0.296 0.797 0.860
0.204 0.797 0.140
0.750 0.797 0.500
0.750 0.703 0.000
0.250 0.203 0.500
0.250 0.297 0.000
0.739 0.750 0.250
0.261 0.250 0.750
0.761 0.750 0.750
0.239 0.250 0.250
0.071 0.933 0.436
0.429 0.933 0.564
0.071 0.567 0.064
0.429 0.567 0.936
0.929 0.067 0.564
0.571 0.067 0.436
0.929 0.433 0.936
0.571 0.433 0.064
0.989 0.457 0.412
0.489 0.957 0.088
0.989 0.043 0.088
0.511 0.043 0.912
0.011 0.543 0.588
0.489 0.543 0.412
0.011 0.957 0.912
0.511 0.457 0.588
```

Properties
* energy: -42.731 eV/f.u.

***

Question: What is the energy in the tenth record?
Answer: -23.790 eV/f.u.